No. 1
Entry from Alexandria: a relaxed USn2Ge crystal (GGA-PBE).

Cell: 4.372 4.372 4.772 Å, 90.00 90.00 90.00°
Space group P4/mmm (No. 123)
Symmetry-distinct sites (fractional):
U1 0.000 0.000 0.000 (multiplicity 1)
Sn1 0.000 0.500 0.500 (multiplicity 2)
Ge1 0.500 0.500 0.000 (multiplicity 1)

Fermi-level density of states (states/eV per cell): 5.53
Energy (eV/cell): -24.55
Energy of formation (eV per atom): -0.1593
Crystal system: tetragonal
Energy relative to the lowest polymorph listed for this composition (eV per atom): 0.000

***

No. 2
Entry from Alexandria: a relaxed Ba6As2I3Br crystal (GGA-PBE).

Cell: 8.383 14.489 8.680 Å, 90.00 108.67 90.00°
Space group C2/m (No. 12)
Symmetry-distinct sites (fractional):
Ba1 0.221 0.000 0.213 (multiplicity 4)
Ba2 0.247 0.325 0.217 (multiplicity 8)
As1 0.000 0.167 0.000 (multiplicity 4)
I1 0.000 0.000 0.500 (multiplicity 2)
I2 0.000 0.338 0.500 (multiplicity 4)
Br1 0.000 0.500 0.000 (multiplicity 2)

Fermi-level density of states (states/eV per cell): 8.42
Energy (eV/cell): -89.99
Crystal system: monoclinic

***

No. 3
Entry from Alexandria: a relaxed KTa2Si crystal (GGA-PBE).

Cell: 4.280 4.280 8.256 Å, 90.00 90.00 90.00°
Space group I4/mmm (No. 139)
Symmetry-distinct sites (fractional):
K1 0.000 0.000 0.000 (multiplicity 2)
Ta1 0.000 0.500 0.250 (multiplicity 4)
Si1 0.000 0.000 0.500 (multiplicity 2)

Fermi-level density of states (states/eV per cell): 6.03
Energy (eV/cell): -50.73
Crystal system: tetragonal

***

No. 4
Entry from Alexandria: a relaxed Hf2MnGa crystal (GGA-PBE).

Cell: 7.273 7.273 5.697 Å, 90.00 90.00 90.00°
Space group I-42d (No. 122)
Symmetry-distinct sites (fractional):
Hf1 0.229 0.250 0.125 (multiplicity 8)
Mn1 0.000 0.000 0.000 (multiplicity 4)
Ga1 0.000 0.000 0.500 (multiplicity 4)

Fermi-level density of states (states/eV per cell): 18.01
Energy (eV/cell): -123.62
Energy of formation (eV per atom): 0.2999
Crystal system: tetragonal

***

No. 5
Entry from Alexandria: a relaxed Pm3Pr4Ir4 crystal (GGA-PBE).

Cell: 4.517 8.195 15.866 Å, 90.00 90.00 90.00°
Space group Immm (No. 71)
Symmetry-distinct sites (fractional):
Pm1 0.000 0.000 0.000 (multiplicity 2)
Pm2 0.000 0.500 0.098 (multiplicity 4)
Pr1 0.000 0.290 0.333 (multiplicity 8)
Ir1 0.000 0.000 0.209 (multiplicity 4)
Ir2 0.000 0.174 0.500 (multiplicity 4)

Fermi-level density of states (states/eV per cell): 16.97
Energy (eV/cell): -147.43
Energy of formation (eV per atom): -0.4456
Crystal system: orthorhombic

***

No. 6
Entry from Alexandria: a relaxed Sr2IrAu crystal (GGA-PBE).

Cell: 4.4118 4.4118 21.7991 Å, 90.00 90.00 120.00°
Space group R-3m (No. 166, hexagonal axes)
Symmetry-distinct sites (fractional):
Sr1 0.0000 0.0000 0.2392 (multiplicity 6)
Ir1 0.0000 0.0000 0.5000 (multiplicity 3)
Au1 0.0000 0.0000 0.0000 (multiplicity 3)

Fermi-level density of states (states/eV per cell): 7.39
Energy (eV/cell): -48.54
Energy of formation (eV per atom): -0.1693
Crystal system: trigonal

***

No. 7
Entry from Alexandria: a relaxed TbY2U2Ru5 crystal (GGA-PBE).

Cell: 10.599 10.599 3.620 Å, 90.00 90.00 90.00°
Space group P4/mbm (No. 127)
Symmetry-distinct sites (fractional):
Tb1 0.000 0.000 0.000 (multiplicity 2)
Y1 0.175 0.325 0.000 (multiplicity 4)
U1 0.134 0.634 0.000 (multiplicity 4)
Ru1 0.000 0.500 0.500 (multiplicity 2)
Ru2 0.055 0.786 0.500 (multiplicity 8)

Fermi-level density of states (states/eV per cell): 13.35
Energy (eV/cell): -178.59
Energy of formation (eV per atom): -0.2783
Crystal system: tetragonal

***

No. 8
Entry from Alexandria: a relaxed CsRb3O4 crystal (GGA-PBE).

Cell: 4.330 5.679 15.356 Å, 90.00 90.00 90.00°
Space group Immm (No. 71)
Symmetry-distinct sites (fractional):
Cs1 0.000 0.000 0.000 (multiplicity 2)
Rb1 0.000 0.000 0.500 (multiplicity 2)
Rb2 0.000 0.500 0.294 (multiplicity 4)
O1 0.000 0.366 0.125 (multiplicity 8)

Energy (eV/cell): -61.13
Crystal system: orthorhombic

***

No. 9
Entry from Alexandria: a relaxed Mg2AuCl crystal (GGA-PBE).

Cell: 7.045 7.045 7.179 Å, 90.00 90.00 90.00°
Space group I-42d (No. 122)
Symmetry-distinct sites (fractional):
Mg1 0.245 0.250 0.125 (multiplicity 8)
Au1 0.000 0.000 0.500 (multiplicity 4)
Cl1 0.000 0.000 0.000 (multiplicity 4)

Fermi-level density of states (states/eV per cell): 0.00
Energy (eV/cell): -43.36
Crystal system: tetragonal
Energy relative to the lowest polymorph listed for this composition (eV per atom): 0.219

***

No. 10
Entry from Alexandria: a relaxed LiNdLuTl crystal (GGA-PBE).

Cell: 7.532 7.532 7.532 Å, 90.00 90.00 90.00°
Space group F-43m (No. 216)
Symmetry-distinct sites (fractional):
Li1 0.000 0.000 0.000 (multiplicity 4)
Nd1 0.250 0.250 0.250 (multiplicity 4)
Lu1 0.250 0.250 0.750 (multiplicity 4)
Tl1 0.000 0.000 0.500 (multiplicity 4)

Fermi-level density of states (states/eV per cell): 14.66
Energy (eV/cell): -57.09
Energy of formation (eV per atom): -0.1760
Crystal system: cubic

***

No. 11
Entry from Alexandria: a relaxed Pr2Sm3Er7 crystal (GGA-PBE).

Cell: 6.347 3.528 17.528 Å, 90.00 96.24 90.00°
Space group P2/m (No. 10)
Symmetry-distinct sites (fractional):
Pr1 0.055 0.000 0.174 (multiplicity 2)
Sm1 0.454 0.500 0.841 (multiplicity 2)
Sm2 0.500 0.000 0.500 (multiplicity 1)
Er1 0.000 0.500 0.500 (multiplicity 1)
Er2 0.227 0.000 0.664 (multiplicity 2)
Er3 0.255 0.000 0.000 (multiplicity 2)
Er4 0.274 0.500 0.338 (multiplicity 2)

Fermi-level density of states (states/eV per cell): 17.63
Energy (eV/cell): -54.59
Energy of formation (eV per atom): 0.0885
Crystal system: monoclinic
Energy relative to the lowest polymorph listed for this composition (eV per atom): 0.000

***

No. 12
Entry from Alexandria: a relaxed LaCr2Ni crystal (GGA-PBE).

Cell: 4.237 4.237 17.557 Å, 90.00 90.00 90.00°
Space group I4_1/amd (No. 141, origin choice 2)
Symmetry-distinct sites (fractional):
La1 0.000 0.250 0.375 (multiplicity 4)
Cr1 0.000 0.000 0.000 (multiplicity 8)
Ni1 0.000 0.250 0.875 (multiplicity 4)

Fermi-level density of states (states/eV per cell): 19.51
Energy (eV/cell): -109.47
Energy of formation (eV per atom): 0.6467
Crystal system: tetragonal
Energy relative to the lowest polymorph listed for this composition (eV per atom): 0.404

***

No. 13
Entry from Alexandria: a relaxed Li2CdGeS4 crystal (GGA-PBE).

Cell: 7.817 6.918 6.464 Å, 90.00 90.00 90.00°
Space group Pmn2_1 (No. 31)
Symmetry-distinct sites (fractional):
Li1 0.246 0.170 0.000 (multiplicity 4)
Cd1 0.000 0.352 0.502 (multiplicity 2)
Ge1 0.000 0.674 0.000 (multiplicity 2)
S1 0.000 0.365 0.103 (multiplicity 2)
S2 0.000 0.692 0.654 (multiplicity 2)
S3 0.229 0.833 0.121 (multiplicity 4)

Fermi-level density of states (states/eV per cell): 0.00
Energy (eV/cell): -65.45
Crystal system: orthorhombic

***

No. 14
Entry from Alexandria: a relaxed KAcTcO5 crystal (GGA-PBE).

Cell: 7.938 10.600 8.596 Å, 90.00 111.65 90.00°
Space group C2/c (No. 15)
Symmetry-distinct sites (fractional):
K1 0.000 0.176 0.250 (multiplicity 4)
Ac1 0.000 0.500 0.000 (multiplicity 4)
Tc1 0.000 0.173 0.750 (multiplicity 4)
O1 0.000 0.418 0.250 (multiplicity 4)
O2 0.092 0.276 0.635 (multiplicity 8)
O3 0.157 0.070 0.899 (multiplicity 8)

Fermi-level density of states (states/eV per cell): 19.99
Energy (eV/cell): -227.52
Crystal system: monoclinic

***

No. 15
Entry from Alexandria: a relaxed Sr2Al12AgPd3 crystal (GGA-PBE).

Cell: 9.1704 9.1704 18.4448 Å, 90.00 90.00 120.00°
Space group R-3m (No. 166, hexagonal axes)
Symmetry-distinct sites (fractional):
Sr1 0.0000 0.0000 0.1019 (multiplicity 6)
Al1 0.0073 0.5036 0.1351 (multiplicity 18)
Al2 0.0923 0.5462 0.2873 (multiplicity 18)
Ag1 0.0000 0.0000 0.5000 (multiplicity 3)
Pd1 0.0000 0.5000 0.0000 (multiplicity 9)

Fermi-level density of states (states/eV per cell): 28.03
Energy (eV/cell): -202.44
Energy of formation (eV per atom): -0.0431
Crystal system: trigonal

***

No. 16
Entry from Alexandria: a relaxed NdHoPt4 crystal (GGA-PBE).

Cell: 7.739 7.739 7.739 Å, 90.00 90.00 90.00°
Space group F-43m (No. 216)
Symmetry-distinct sites (fractional):
Nd1 0.000 0.000 0.000 (multiplicity 4)
Ho1 0.250 0.250 0.250 (multiplicity 4)
Pt1 0.125 0.125 0.625 (multiplicity 16)

Fermi-level density of states (states/eV per cell): 4.86
Energy (eV/cell): -160.24
Energy of formation (eV per atom): -1.0920
Crystal system: cubic

***

No. 17
Entry from Alexandria: a relaxed PrYMgCu crystal (GGA-PBE).

Cell: 7.414 7.414 7.414 Å, 90.00 90.00 90.00°
Space group F-43m (No. 216)
Symmetry-distinct sites (fractional):
Pr1 0.000 0.000 0.000 (multiplicity 4)
Y1 0.000 0.000 0.500 (multiplicity 4)
Mg1 0.250 0.250 0.750 (multiplicity 4)
Cu1 0.250 0.250 0.250 (multiplicity 4)

Fermi-level density of states (states/eV per cell): 19.19
Energy (eV/cell): -68.53
Energy of formation (eV per atom): -0.0496
Crystal system: cubic

***

No. 18
Entry from Alexandria: a relaxed PmYLuMg crystal (GGA-PBE).

Cell: 7.799 7.799 7.799 Å, 90.00 90.00 90.00°
Space group F-43m (No. 216)
Symmetry-distinct sites (fractional):
Pm1 0.000 0.000 0.000 (multiplicity 4)
Y1 0.000 0.000 0.500 (multiplicity 4)
Lu1 0.250 0.250 0.250 (multiplicity 4)
Mg1 0.250 0.250 0.750 (multiplicity 4)

Fermi-level density of states (states/eV per cell): 17.62
Energy (eV/cell): -69.09
Energy of formation (eV per atom): 0.0145
Crystal system: cubic

***

No. 19
Entry from Alexandria: a relaxed KNa9Tl3 crystal (GGA-PBE).

Cell: 6.714 16.268 8.841 Å, 90.00 112.18 90.00°
Space group C2/m (No. 12)
Symmetry-distinct sites (fractional):
K1 0.000 0.000 0.000 (multiplicity 2)
Na1 0.000 0.500 0.500 (multiplicity 2)
Na2 0.122 0.388 0.218 (multiplicity 8)
Na3 0.157 0.174 0.338 (multiplicity 8)
Tl1 0.000 0.000 0.500 (multiplicity 2)
Tl2 0.250 0.250 0.000 (multiplicity 4)

Fermi-level density of states (states/eV per cell): 11.22
Energy (eV/cell): -41.86
Energy of formation (eV per atom): -0.0665
Crystal system: monoclinic

***

No. 20
Entry from Alexandria: a relaxed ReTcIr crystal (GGA-PBE).

Cell: 4.3553 4.3553 2.7247 Å, 90.00 90.00 120.00°
Space group P-6m2 (No. 187)
Symmetry-distinct sites (fractional):
Re1 0.0000 0.0000 0.0000 (multiplicity 1)
Tc1 0.3333 0.6667 0.0000 (multiplicity 1)
Ir1 0.6667 0.3333 0.5000 (multiplicity 1)

Fermi-level density of states (states/eV per cell): 2.64
Energy (eV/cell): -31.49
Energy of formation (eV per atom): 0.0601
Crystal system: hexagonal
Energy relative to the lowest polymorph listed for this composition (eV per atom): 0.270